#w
Al3ZnC (PBE-GGA, optimized geometry); total magnetic moment = 1.12 μB per formula unit
1.0
4.596 0.000 0.000
0.000 4.596 0.000
0.000 0.000 4.596
C Zn Al
1 1 3
Direct
0.500 0.500 0.500
0.000 0.000 0.000
0.000 0.500 0.000
0.000 0.000 0.500
0.500 0.000 0.000



#x
Al3ZnC (PBE-GGA, optimized geometry); total magnetic moment = 0.00 μB per formula unit
1.0
4.088 0.000 0.000
0.000 4.088 0.000
0.000 0.000 4.088
C Zn Al
1 1 3
Direct
0.000 0.000 0.000
0.500 0.500 0.500
0.000 0.500 0.000
0.000 0.000 0.500
0.500 0.000 0.000



Most stable to least stable: #x, #w



#w
AlZnC2 (PBE-GGA, optimized geometry); total magnetic moment = 0.00 μB per formula unit
1.0
4.061 0.000 0.000
0.000 4.061 0.000
2.031 2.031 5.792
C Zn Al
4 2 2
Direct
0.613 0.125 0.250
0.137 0.625 0.250
0.375 0.387 0.750
0.875 0.863 0.750
0.000 0.000 0.000
0.750 0.250 0.500
0.500 0.500 0.000
0.250 0.750 0.500



#x
AlZnC2 (PBE-GGA, optimized geometry); total magnetic moment = 0.00 μB per formula unit
1.0
0.000 2.728 2.728
2.728 0.000 2.728
2.728 2.728 0.000
C Zn Al
2 1 1
Direct
0.250 0.250 0.250
0.750 0.750 0.750
0.500 0.500 0.500
0.000 0.000 0.000



Most stable to least stable: #w, #x



#w
ZrAl3C (PBE-GGA, optimized geometry); total magnetic moment = 0.20 μB per formula unit
1.0
5.305 0.000 0.000
0.000 5.305 0.000
0.000 0.000 5.305
C Al Zr
1 3 1
Direct
0.500 0.500 0.500
0.000 0.500 0.000
0.000 0.000 0.500
0.500 0.000 0.000
0.000 0.000 0.000



#x
ZrAl3C (PBE-GGA, optimized geometry); total magnetic moment = 0.00 μB per formula unit
1.0
4.235 0.000 0.000
0.000 4.235 0.000
0.000 0.000 4.235
C Al Zr
1 3 1
Direct
0.000 0.000 0.000
0.000 0.500 0.000
0.000 0.000 0.500
0.500 0.000 0.000
0.500 0.500 0.500



Most stable to least stable: #x, #w



#w
Zr3Al3C5 (PBE-GGA, optimized geometry); total magnetic moment = 0.00 μB per formula unit
1.0
3.363 0.000 0.000
-1.681 2.912 0.000
0.000 0.000 27.753
Zr Al C
6 6 10
Direct
0.333 0.667 0.905
0.667 0.333 0.095
0.000 0.000 0.000
0.333 0.667 0.595
0.000 0.000 0.500
0.667 0.333 0.405
0.000 0.000 0.250
0.667 0.333 0.823
0.333 0.667 0.177
0.333 0.667 0.323
0.667 0.333 0.677
0.000 0.000 0.750
0.667 0.333 0.950
0.667 0.333 0.550
0.000 0.000 0.348
0.000 0.000 0.652
0.667 0.333 0.750
0.333 0.667 0.050
0.333 0.667 0.450
0.000 0.000 0.152
0.333 0.667 0.250
0.000 0.000 0.848



#x
Zr3Al3C5 (PBE-GGA, optimized geometry); total magnetic moment = 0.00 μB per formula unit
1.0
2.048 2.024 1.631
-2.757 1.199 -1.384
-14.780 -5.169 24.969
Zr Al C
6 6 10
Direct
0.000 0.000 0.000
0.667 0.333 0.090
0.333 0.667 0.910
0.333 0.667 0.590
0.667 0.333 0.410
0.000 0.000 0.500
0.667 0.333 0.322
0.333 0.667 0.822
0.667 0.333 0.178
0.333 0.667 0.678
0.000 0.000 0.750
0.000 0.000 0.250
0.000 0.000 0.351
0.000 0.000 0.851
0.333 0.667 0.452
0.667 0.333 0.548
0.667 0.333 0.952
0.000 0.000 0.149
0.000 0.000 0.649
0.333 0.667 0.048
0.667 0.333 0.750
0.333 0.667 0.250



Most stable to least stable: #w, #x



#w
Ca3Al5 (PBE-GGA, optimized geometry); total magnetic moment = 0.00 μB per formula unit
1.0
-4.190 -7.931 -0.852
6.064 4.605 -4.826
4.409 -1.459 6.789
Ca Al
6 10
Direct
0.822 0.807 0.992
0.307 0.323 0.991
0.477 0.343 0.498
0.843 0.978 0.498
0.039 0.539 0.829
0.673 0.174 0.176
0.182 0.682 0.501
0.578 0.078 0.509
0.670 0.007 0.799
0.187 0.845 0.223
0.835 0.640 0.308
0.343 0.548 0.672
0.506 0.169 0.799
0.345 0.687 0.223
0.140 0.336 0.308
0.047 0.843 0.672



#x
Ca3Al5 (PBE-GGA, optimized geometry); total magnetic moment = 0.00 μB per formula unit
1.0
4.382 -4.609 0.000
4.382 4.609 0.000
0.000 0.000 4.536
Ca Al
3 5
Direct
0.500 0.500 0.000
0.764 0.236 0.500
0.236 0.764 0.500
0.000 0.000 0.000
0.000 0.500 0.000
0.500 0.000 0.000
0.248 0.248 0.500
0.752 0.752 0.500



Most stable to least stable: #x, #w



#w
Ca3Al4 (PBE-GGA, optimized geometry); total magnetic moment = 0.00 μB per formula unit
1.0
3.959 3.697 -3.948
-6.646 0.114 -0.867
-0.362 3.905 3.294
Ca Al
3 4
Direct
0.000 0.500 0.000
0.500 0.500 0.000
0.500 0.000 0.000
0.000 0.000 0.248
0.000 0.000 0.752
0.667 0.333 0.500
0.333 0.667 0.500



#x
Ca3Al4 (PBE-GGA, optimized geometry); total magnetic moment = 0.00 μB per formula unit
1.0
3.988 0.895 14.224
0.448 -2.460 14.587
-0.572 -0.992 -14.755
Ca Al
3 4
Direct
0.000 0.000 0.000
0.695 0.695 0.000
0.305 0.305 0.000
0.878 0.878 0.000
0.122 0.122 0.000
0.576 0.576 0.000
0.424 0.424 0.000



Most stable to least stable: #x, #w